Density functional theory data (PBE) for a geometry-optimized Mg6InAu structure.

Lattice parameters (Å, degrees): 4.3827 4.3827 8.7637 90.00 90.00 90.00
Space group P4/mmm (No. 123)
One atom of each set of equivalent atoms:
Mg1 0.0000 0.0000 0.0000
Mg2 0.0000 0.0000 0.5000
Mg3 0.0000 0.5000 0.2345
In1 0.5000 0.5000 0.5000
Au1 0.5000 0.5000 0.0000

Calculated values
Total magnetization (μB per cell): 0.00
Volume (Å³/atom): 21.04
Electronic total energy (eV/cell): -17.2